Entry 1:
VASP calculation (PBE-GGA) on Re2SiRu after structural relaxation.

The structure in POSCAR format:
```
Re2SiRu
1.0
3.7162 0.0000 0.0000
0.0000 3.7162 0.0000
0.0000 0.0000 8.1770
Re Si Ru
4 2 2
direct
0.0000 0.5000 0.2500 Re
0.0000 0.5000 0.7500 Re
0.5000 0.0000 0.2500 Re
0.5000 0.0000 0.7500 Re
0.0000 0.0000 0.0000 Si
0.5000 0.5000 0.5000 Si
0.0000 0.0000 0.5000 Ru
0.5000 0.5000 0.0000 Ru
```

Output
- calculated density (g/cm³) = 14.751
- symmetry = I4/mmm, No. 139
- uncorrected formation energy (eV per atom) = 0.041
- crystal system = tetragonal

Entry 2:
VASP calculation (PBE-GGA) on ReSiRu2 after structural relaxation.

The structure in POSCAR format:
```
ReSiRu2
1.0
2.8508 0.0000 0.0000
0.0000 4.3847 0.0000
0.0000 0.0000 4.4424
Re Si Ru
1 1 2
direct
0.0000 0.0000 0.0000 Re
0.5000 0.0000 0.5000 Si
0.0000 0.5000 0.5000 Ru
0.5000 0.5000 0.0000 Ru
```

Output
- calculated density (g/cm³) = 12.453
- symmetry = Pmmm, No. 47
- uncorrected formation energy (eV per atom) = 0.053
- crystal system = orthorhombic

Entry 3:
VASP calculation (PBE-GGA) on Re2SiRu after structural relaxation.

The structure in POSCAR format:
```
Re2SiRu
1.0
2.8187 0.0000 0.0000
0.0000 3.9675 0.0000
0.0000 0.0000 5.0829
Re Si Ru
2 1 1
direct
0.0000 0.0000 0.2405 Re
0.0000 0.0000 0.7595 Re
0.5000 0.5000 0.0000 Si
0.5000 0.5000 0.5000 Ru
```

Output
- calculated density (g/cm³) = 14.652
- symmetry = Pmmm, No. 47
- uncorrected formation energy (eV per atom) = 0.024
- crystal system = orthorhombic

Entry 4:
VASP calculation (PBE-GGA) on ReSiRu2 after structural relaxation.

The structure in POSCAR format:
```
ReSiRu2
1.0
5.5453 0.0000 0.0000
0.0000 7.1896 0.0000
0.0000 0.0000 2.7838
Re Si Ru
2 2 4
direct
0.0000 0.0000 0.0000 Re
0.5000 0.5000 0.0000 Re
0.0000 0.5000 0.0000 Si
0.5000 0.0000 0.0000 Si
0.2500 0.2500 0.5000 Ru
0.2500 0.7500 0.5000 Ru
0.7500 0.2500 0.5000 Ru
0.7500 0.7500 0.5000 Ru
```

Output
- calculated density (g/cm³) = 12.461
- symmetry = Cmmm, No. 65
- uncorrected formation energy (eV per atom) = -0.044
- crystal system = orthorhombic

Entry 5:
VASP calculation (PBE-GGA) on Re2SiRu after structural relaxation.

The structure in POSCAR format:
```
Re2SiRu
1.0
2.8894 0.0000 0.0000
0.0000 4.4045 0.0000
0.0000 0.0000 8.7213
Re Si Ru
4 2 2
direct
0.0000 0.0000 0.0000 Re
0.0000 0.5000 0.2232 Re
0.5000 0.0000 0.7232 Re
0.5000 0.5000 0.5000 Re
0.0000 0.0000 0.4952 Si
0.5000 0.5000 0.9952 Si
0.0000 0.5000 0.7760 Ru
0.5000 0.0000 0.2760 Ru
```

Output
- calculated density (g/cm³) = 15.008
- symmetry = Imm2, No. 44
- uncorrected formation energy (eV per atom) = -0.148
- crystal system = orthorhombic

Entry 6:
VASP calculation (PBE-GGA) on Re2SiRu after structural relaxation.

The structure in POSCAR format:
```
Re2SiRu
1.0
3.8614 0.0000 0.0000
0.0000 3.8614 0.0000
0.0000 0.0000 7.5810
Re Si Ru
4 2 2
direct
0.0000 0.0000 0.0000 Re
0.0000 0.5000 0.2500 Re
0.5000 0.0000 0.7500 Re
0.5000 0.5000 0.5000 Re
0.0000 0.0000 0.5000 Si
0.5000 0.5000 0.0000 Si
0.0000 0.5000 0.7500 Ru
0.5000 0.0000 0.2500 Ru
```

Output
- calculated density (g/cm³) = 14.736
- symmetry = I-4m2, No. 119
- uncorrected formation energy (eV per atom) = 0.060
- crystal system = tetragonal

Entry 7:
VASP calculation (PBE-GGA) on ReSiRu2 after structural relaxation.

The structure in POSCAR format:
```
ReSiRu2
1.0
2.8705 0.0000 0.0000
0.0000 4.6916 0.0000
0.0000 0.0000 8.4479
Re Si Ru
2 2 4
direct
0.0000 0.0000 0.0000 Re
0.5000 0.5000 0.0000 Re
0.0000 0.5000 0.2444 Si
0.5000 0.0000 0.2444 Si
0.0000 0.0000 0.4647 Ru
0.0000 0.5000 0.7397 Ru
0.5000 0.0000 0.7397 Ru
0.5000 0.5000 0.4647 Ru
```

Output
- calculated density (g/cm³) = 12.156
- symmetry = Cmm2, No. 35
- uncorrected formation energy (eV per atom) = 0.242
- crystal system = orthorhombic

Entry 8:
VASP calculation (PBE-GGA) on ReSiRu2 after structural relaxation.

The structure in POSCAR format:
```
ReSiRu2
1.0
5.4628 0.0000 0.0000
0.0000 5.4628 0.0000
0.0000 0.0000 10.7879
Re Si Ru
4 4 8
direct
0.0000 0.0000 0.0000 Re
0.0000 0.5000 0.2500 Re
0.5000 0.0000 0.7500 Re
0.5000 0.5000 0.5000 Re
0.0000 0.0000 0.5000 Si
0.0000 0.5000 0.7500 Si
0.5000 0.0000 0.2500 Si
0.5000 0.5000 0.0000 Si
0.2397 0.2500 0.6250 Ru
0.2500 0.7397 0.8750 Ru
0.2500 0.7603 0.3750 Ru
0.2603 0.2500 0.1250 Ru
0.7397 0.7500 0.1250 Ru
0.7500 0.2397 0.3750 Ru
0.7500 0.2603 0.8750 Ru
0.7603 0.7500 0.6250 Ru
```

Output
- calculated density (g/cm³) = 8.592
- symmetry = I-42d, No. 122
- uncorrected formation energy (eV per atom) = 0.730
- crystal system = tetragonal

Entry 9:
VASP calculation (PBE-GGA) on Re2SiRu after structural relaxation.

The structure in POSCAR format:
```
Re2SiRu
1.0
3.6876 0.0000 0.0000
0.0000 3.6876 0.0000
0.0000 0.0000 4.1884
Re Si Ru
2 1 1
direct
0.0000 0.5000 0.0000 Re
0.5000 0.0000 0.0000 Re
0.0000 0.0000 0.5000 Si
0.5000 0.5000 0.5000 Ru
```

Output
- calculated density (g/cm³) = 14.624
- symmetry = P4/mmm, No. 123
- uncorrected formation energy (eV per atom) = 0.194
- crystal system = tetragonal

Entry 10:
VASP calculation (PBE-GGA) on Re2SiRu after structural relaxation.

The structure in POSCAR format:
```
Re2SiRu
1.0
5.5341 0.0000 0.0000
0.0000 5.5341 0.0000
0.0000 0.0000 10.9517
Re Si Ru
8 4 4
direct
0.2496 0.2500 0.1250 Re
0.2504 0.2500 0.6250 Re
0.2500 0.7496 0.3750 Re
0.2500 0.7504 0.8750 Re
0.7500 0.2504 0.3750 Re
0.7500 0.2496 0.8750 Re
0.7504 0.7500 0.1250 Re
0.7496 0.7500 0.6250 Re
0.0000 0.0000 0.0000 Si
0.0000 0.5000 0.2500 Si
0.5000 0.0000 0.7500 Si
0.5000 0.5000 0.5000 Si
0.0000 0.0000 0.5000 Ru
0.0000 0.5000 0.7500 Ru
0.5000 0.0000 0.2500 Ru
0.5000 0.5000 0.0000 Ru
```

Output
- calculated density (g/cm³) = 9.933
- symmetry = I-42d, No. 122
- uncorrected formation energy (eV per atom) = 1.222
- crystal system = tetragonal

Entry 11:
VASP calculation (PBE-GGA) on Re2Si2Ru after structural relaxation.

The structure in POSCAR format:
```
Re2Si2Ru
1.0
6.8795 0.0000 0.0000
0.0000 6.8795 0.0000
0.0000 0.0000 2.9295
Re Si Ru
4 4 2
direct
0.1550 0.3450 0.0000 Re
0.3450 0.8450 0.0000 Re
0.6550 0.1550 0.0000 Re
0.8450 0.6550 0.0000 Re
0.1431 0.6431 0.5000 Si
0.3569 0.1431 0.5000 Si
0.6431 0.8569 0.5000 Si
0.8569 0.3569 0.5000 Si
0.0000 0.0000 0.5000 Ru
0.5000 0.5000 0.5000 Ru
```

Output
- calculated density (g/cm³) = 12.687
- symmetry = P4/mbm, No. 127
- uncorrected formation energy (eV per atom) = 0.033
- crystal system = tetragonal

Entry 12:
VASP calculation (PBE-GGA) on ReSiRu2 after structural relaxation.

The structure in POSCAR format:
```
ReSiRu2
1.0
2.8745 0.0000 0.0000
0.0000 4.3735 0.0000
0.0000 0.0000 8.6507
Re Si Ru
2 2 4
direct
0.0000 0.0000 0.0000 Re
0.5000 0.5000 0.5000 Re
0.0000 0.0000 0.5000 Si
0.5000 0.5000 0.0000 Si
0.0000 0.5000 0.2227 Ru
0.0000 0.5000 0.7773 Ru
0.5000 0.0000 0.2773 Ru
0.5000 0.0000 0.7227 Ru
```

Output
- calculated density (g/cm³) = 12.717
- symmetry = Immm, No. 71
- uncorrected formation energy (eV per atom) = -0.200
- crystal system = orthorhombic

Entry 13:
VASP calculation (PBE-GGA) on Re2SiRu after structural relaxation.

The structure in POSCAR format:
```
Re2SiRu
1.0
2.7796 0.0000 0.0000
-1.3898 2.4072 0.0000
0.0000 0.0000 25.3958
Re Si Ru
6 3 3
direct
0.0000 0.0000 0.2478 Re
0.0000 0.0000 0.7522 Re
0.3333 0.6667 0.4189 Re
0.3333 0.6667 0.9145 Re
0.6667 0.3333 0.0855 Re
0.6667 0.3333 0.5811 Re
0.0000 0.0000 0.5000 Si
0.3333 0.6667 0.1667 Si
0.6667 0.3333 0.8333 Si
0.0000 0.0000 0.0000 Ru
0.3333 0.6667 0.6667 Ru
0.6667 0.3333 0.3333 Ru
```

Output
- calculated density (g/cm³) = 14.704
- symmetry = R-3m, No. 166
- uncorrected formation energy (eV per atom) = 0.004
- crystal system = trigonal

Entry 14:
VASP calculation (PBE-GGA) on ReSiRu2 after structural relaxation.

The structure in POSCAR format:
```
ReSiRu2
1.0
2.7698 0.0000 0.0000
0.0000 3.9843 0.0000
-1.3777 0.0000 5.0407
Re Si Ru
1 1 2
direct
0.0000 0.0000 0.0000 Re
0.3911 0.5000 0.7787 Si
0.2620 0.0000 0.5253 Ru
0.6301 0.5000 0.2610 Ru
```

Output
- calculated density (g/cm³) = 12.431
- symmetry = Pm, No. 6
- uncorrected formation energy (eV per atom) = -0.111
- crystal system = monoclinic

Entry 15:
VASP calculation (PBE-GGA) on ReSiRu2 after structural relaxation.

The structure in POSCAR format:
```
ReSiRu2
1.0
2.8107 0.0000 0.0000
0.0000 3.8553 0.0000
0.0000 0.0000 5.2034
Re Si Ru
1 1 2
direct
0.0000 0.0000 0.0000 Re
0.5000 0.5000 0.7042 Si
0.0000 0.0000 0.5253 Ru
0.5000 0.5000 0.2012 Ru
```

Output
- calculated density (g/cm³) = 12.264
- symmetry = Pmm2, No. 25
- uncorrected formation energy (eV per atom) = -0.071
- crystal system = orthorhombic

Entry 16:
VASP calculation (PBE-GGA) on ReSiRu2 after structural relaxation.

The structure in POSCAR format:
```
ReSiRu2
1.0
3.7488 0.0000 0.0000
0.0000 3.7488 0.0000
0.0000 0.0000 7.8650
Re Si Ru
2 2 4
direct
0.0000 0.0000 0.0000 Re
0.5000 0.5000 0.5000 Re
0.0000 0.5000 0.2500 Si
0.5000 0.0000 0.7500 Si
0.0000 0.0000 0.5000 Ru
0.0000 0.5000 0.7500 Ru
0.5000 0.0000 0.2500 Ru
0.5000 0.5000 0.0000 Ru
```

Output
- calculated density (g/cm³) = 12.513
- symmetry = I-4m2, No. 119
- uncorrected formation energy (eV per atom) = -0.031
- crystal system = tetragonal

Entry 17:
VASP calculation (PBE-GGA) on ReSiRu2 after structural relaxation.

The structure in POSCAR format:
```
ReSiRu2
1.0
2.8683 0.0000 0.0000
0.0000 4.6970 0.0000
0.0000 0.0000 8.3812
Re Si Ru
2 2 4
direct
0.0000 0.0000 0.0000 Re
0.5000 0.5000 0.0000 Re
0.0000 0.0000 0.5000 Si
0.5000 0.5000 0.5000 Si
0.0000 0.5000 0.2715 Ru
0.0000 0.5000 0.7285 Ru
0.5000 0.0000 0.2715 Ru
0.5000 0.0000 0.7285 Ru
```

Output
- calculated density (g/cm³) = 12.248
- symmetry = Cmmm, No. 65
- uncorrected formation energy (eV per atom) = 0.140
- crystal system = orthorhombic

Entry 18:
VASP calculation (PBE-GGA) on ReSi4Ru2 after structural relaxation.

The structure in POSCAR format:
```
ReSi4Ru2
1.0
4.5559 0.0000 0.0000
0.0000 4.5559 0.0000
0.0000 0.0000 12.0303
Re Si Ru
2 8 4
direct
0.0000 0.0000 0.0000 Re
0.5000 0.5000 0.5000 Re
0.0000 0.0000 0.2035 Si
0.0000 0.0000 0.7965 Si
0.0000 0.5000 0.0000 Si
0.0000 0.5000 0.5000 Si
0.5000 0.0000 0.0000 Si
0.5000 0.0000 0.5000 Si
0.5000 0.5000 0.2965 Si
0.5000 0.5000 0.7035 Si
0.0000 0.0000 0.3912 Ru
0.0000 0.0000 0.6088 Ru
0.5000 0.5000 0.1088 Ru
0.5000 0.5000 0.8912 Ru
```

Output
- calculated density (g/cm³) = 6.659
- symmetry = I4/mmm, No. 139
- uncorrected formation energy (eV per atom) = 0.508
- crystal system = tetragonal

Entry 19:
VASP calculation (PBE-GGA) on ReSiRu2 after structural relaxation.

The structure in POSCAR format:
```
ReSiRu2
1.0
2.7616 0.0000 0.0000
0.0000 3.9899 0.0000
-1.2609 0.0000 5.0250
Re Si Ru
1 1 2
direct
0.0000 0.0000 0.0000 Re
0.0000 0.0000 0.5000 Si
0.3756 0.5000 0.7385 Ru
0.6244 0.5000 0.2615 Ru
```

Output
- calculated density (g/cm³) = 12.489
- symmetry = P2/m, No. 10
- uncorrected formation energy (eV per atom) = -0.151
- crystal system = monoclinic

Entry 20:
VASP calculation (PBE-GGA) on ReSiRu2 after structural relaxation.

The structure in POSCAR format:
```
ReSiRu2
1.0
8.7489 0.0000 0.0000
0.0000 2.7511 0.0000
-0.6686 0.0000 4.6043
Re Si Ru
2 2 4
direct
0.0000 0.0000 0.0000 Re
0.5000 0.5000 0.0000 Re
0.0000 0.5000 0.5000 Si
0.5000 0.0000 0.5000 Si
0.2489 0.5000 0.2543 Ru
0.2511 0.0000 0.7457 Ru
0.7489 0.0000 0.2543 Ru
0.7511 0.5000 0.7457 Ru
```

Output
- calculated density (g/cm³) = 12.480
- symmetry = C2/m, No. 12
- uncorrected formation energy (eV per atom) = -0.045
- crystal system = monoclinic